[1]
# GGA-PBE Nb2ICl, relaxed
data_Nb2ICl
_chemical_formula_sum 'Nb2 I1 Cl1'
_symmetry_space_group_name_H-M 'P 1'
_symmetry_Int_Tables_number 1
_symmetry_space_group_name_Hall 'P 1'
_cell_length_a 4.7390
_cell_length_b 4.7390
_cell_length_c 4.7390
_cell_angle_alpha 60.00
_cell_angle_beta 60.00
_cell_angle_gamma 60.00
loop_
_atom_site_label
_atom_site_type_symbol
_atom_site_fract_x
_atom_site_fract_y
_atom_site_fract_z
_atom_site_occupancy
I1 I 0.5000 0.5000 0.5000 1
Nb1 Nb 0.2500 0.2500 0.2500 1
Nb2 Nb 0.7500 0.7500 0.7500 1
Cl1 Cl 0.0000 0.0000 0.0000 1
# ΔE to the lowest computed polymorph ... 0.208 eV/atom

***

[2]
# GGA-PBE Li2ThPbBr8, relaxed
data_Li2ThPbBr8
_chemical_formula_sum 'Li2 Th1 Pb1 Br8'
_symmetry_space_group_name_H-M 'P 1'
_symmetry_Int_Tables_number 1
_symmetry_space_group_name_Hall 'P 1'
_cell_length_a 7.0878
_cell_length_b 7.3435
_cell_length_c 8.9910
_cell_angle_alpha 72.70
_cell_angle_beta 90.28
_cell_angle_gamma 101.90
loop_
_atom_site_label
_atom_site_type_symbol
_atom_site_fract_x
_atom_site_fract_y
_atom_site_fract_z
_atom_site_occupancy
Li1 Li 0.5404 0.3586 0.6715 1
Li2 Li 0.4596 0.6414 0.3285 1
Th1 Th 0.0000 0.0000 0.0000 1
Pb1 Pb 0.0000 0.0000 0.5000 1
Br1 Br 0.1230 0.7648 0.2910 1
Br2 Br 0.6323 0.7469 0.0585 1
Br3 Br 0.8817 0.2230 0.1792 1
Br4 Br 0.8770 0.2352 0.7090 1
Br5 Br 0.3677 0.2531 0.9415 1
Br6 Br 0.1183 0.7770 0.8208 1
Br7 Br 0.6094 0.7280 0.5586 1
Br8 Br 0.3906 0.2720 0.4414 1
# E_tot ... -45.7 eV per cell

***

[3]
# GGA-PBE ScGaIr, relaxed
data_ScGaIr
_chemical_formula_sum 'Sc4 Ga4 Ir4'
_symmetry_space_group_name_H-M 'P 1'
_symmetry_Int_Tables_number 1
_symmetry_space_group_name_Hall 'P 1'
_cell_length_a 5.7110
_cell_length_b 5.7110
_cell_length_c 8.1945
_cell_angle_alpha 90.00
_cell_angle_beta 90.00
_cell_angle_gamma 90.00
loop_
_atom_site_label
_atom_site_type_symbol
_atom_site_fract_x
_atom_site_fract_y
_atom_site_fract_z
_atom_site_occupancy
Ga1 Ga 0.3227 0.3227 0.0000 1
Ga2 Ga 0.6773 0.6773 0.5000 1
Ga3 Ga 0.1773 0.8227 0.2500 1
Ga4 Ga 0.8227 0.1773 0.7500 1
Ir1 Ir 0.5182 0.4818 0.7500 1
Ir2 Ir 0.9818 0.9818 0.5000 1
Ir3 Ir 0.0182 0.0182 0.0000 1
Ir4 Ir 0.4818 0.5182 0.2500 1
Sc1 Sc 0.8065 0.1935 0.2500 1
Sc2 Sc 0.6935 0.6935 0.0000 1
Sc3 Sc 0.3065 0.3065 0.5000 1
Sc4 Sc 0.1935 0.8065 0.7500 1
# Energy of formation from the pure elements ... -0.3677 eV/atom

***

[4]
# GGA-PBE FeSiAs2, relaxed
data_FeSiAs2
_chemical_formula_sum 'Fe1 Si1 As2'
_symmetry_space_group_name_H-M 'P 1'
_symmetry_Int_Tables_number 1
_symmetry_space_group_name_Hall 'P 1'
_cell_length_a 4.8176
_cell_length_b 4.8176
_cell_length_c 4.8176
_cell_angle_alpha 137.67
_cell_angle_beta 118.69
_cell_angle_gamma 77.33
loop_
_atom_site_label
_atom_site_type_symbol
_atom_site_fract_x
_atom_site_fract_y
_atom_site_fract_z
_atom_site_occupancy
As1 As 0.0113 0.0113 0.0000 1
As2 As 0.4887 0.4887 0.0000 1
Fe1 Fe 0.7500 0.2500 0.5000 1
Si1 Si 0.2500 0.7500 0.5000 1
# E_tot ... -21.4 eV per cell

***

[5]
# GGA-PBE LaDy3Tl4Te8, relaxed
data_LaDy3Tl4Te8
_chemical_formula_sum 'La1 Dy3 Tl4 Te8'
_symmetry_space_group_name_H-M 'P 1'
_symmetry_Int_Tables_number 1
_symmetry_space_group_name_Hall 'P 1'
_cell_length_a 9.0114
_cell_length_b 9.6910
_cell_length_c 9.0112
_cell_angle_alpha 117.72
_cell_angle_beta 120.00
_cell_angle_gamma 90.00
loop_
_atom_site_label
_atom_site_type_symbol
_atom_site_fract_x
_atom_site_fract_y
_atom_site_fract_z
_atom_site_occupancy
La1 La 0.0000 0.5000 0.0000 1
Dy1 Dy 0.5000 0.5000 0.0000 1
Dy2 Dy 0.5000 0.5000 0.5000 1
Dy3 Dy 0.0000 0.5000 0.5000 1
Tl1 Tl 0.5000 0.0000 0.0000 1
Tl2 Tl 0.5000 0.0000 0.5000 1
Tl3 Tl 0.0000 0.0000 0.0000 1
Tl4 Tl 0.0000 0.0000 0.5000 1
Te1 Te 0.2439 0.7163 0.9725 1
Te2 Te 0.2439 0.7163 0.4878 1
Te3 Te 0.2627 0.2881 0.5254 1
Te4 Te 0.7286 0.7163 0.9725 1
Te5 Te 0.2714 0.2837 0.0275 1
Te6 Te 0.7373 0.7119 0.4746 1
Te7 Te 0.7561 0.2837 0.5122 1
Te8 Te 0.7561 0.2837 0.0275 1
# E_tot ... -70.5 eV per cell

***

[6]
# GGA-PBE Nd4P2Br3, relaxed
data_Nd4P2Br3
_chemical_formula_sum 'Nd4 P2 Br3'
_symmetry_space_group_name_H-M 'P 1'
_symmetry_Int_Tables_number 1
_symmetry_space_group_name_Hall 'P 1'
_cell_length_a 4.1631
_cell_length_b 4.1631
_cell_length_c 17.9897
_cell_angle_alpha 90.05
_cell_angle_beta 89.95
_cell_angle_gamma 120.00
loop_
_atom_site_label
_atom_site_type_symbol
_atom_site_fract_x
_atom_site_fract_y
_atom_site_fract_z
_atom_site_occupancy
Nd1 Nd 0.3337 0.6663 0.8787 1
Nd2 Nd 0.9992 0.0008 0.2917 1
Nd3 Nd 0.0008 0.9992 0.7083 1
Nd4 Nd 0.6663 0.3337 0.1213 1
P1 P 0.6672 0.3328 0.7963 1
P2 P 0.3328 0.6672 0.2037 1
Br1 Br 0.6656 0.3344 0.3960 1
Br2 Br 0.0000 0.0000 0.0000 1
Br3 Br 0.3344 0.6656 0.6040 1
# E_tot ... -49.7 eV per cell